# PBE SrZnTc2, relaxed
data_SrZnTc2
_chemical_formula_sum 'Sr2 Zn2 Tc4'
_cell_length_a 2.865
_cell_length_b 4.876
_cell_length_c 10.484
_cell_angle_alpha 90.00
_cell_angle_beta 90.00
_cell_angle_gamma 90.00
_symmetry_space_group_name_H-M 'I m m m'
_symmetry_Int_Tables_number 71
_symmetry_space_group_name_Hall '-I 2 2'
loop_
_atom_site_label
_atom_site_type_symbol
_atom_site_fract_x
_atom_site_fract_y
_atom_site_fract_z
Sr1 Sr 0.000 0.000 0.000
Zn1 Zn 0.000 0.000 0.500
Tc1 Tc 0.000 0.500 0.217
# * total magnetic moment: 0.00 μB/f.u.
# * uncorrected energy: -5.234 eV per atom
# * E_form: 688 meV/atom

***

# PBE SrZnTc2, relaxed
data_SrZnTc2
_chemical_formula_sum 'Sr2 Zn2 Tc4'
_cell_length_a 7.625
_cell_length_b 4.405
_cell_length_c 6.231
_cell_angle_alpha 90.00
_cell_angle_beta 114.40
_cell_angle_gamma 90.00
_symmetry_space_group_name_H-M 'C 1 2/m 1'
_symmetry_Int_Tables_number 12
_symmetry_space_group_name_Hall '-C 2y'
loop_
_atom_site_label
_atom_site_type_symbol
_atom_site_fract_x
_atom_site_fract_y
_atom_site_fract_z
Sr1 Sr 0.000 0.000 0.000
Zn1 Zn 0.000 0.500 0.500
Tc1 Tc 0.181 0.000 0.544
# * total magnetic moment: 0.00 μB/f.u.
# * uncorrected energy: -5.653 eV per atom
# * E_form: 269 meV/atom

***

# PBE Sr2ZnTc, relaxed
data_Sr2ZnTc
_chemical_formula_sum 'Sr8 Zn4 Tc4'
_cell_length_a 7.343
_cell_length_b 7.343
_cell_length_c 7.343
_cell_angle_alpha 90.00
_cell_angle_beta 90.00
_cell_angle_gamma 90.00
_symmetry_space_group_name_H-M 'F -4 3 m'
_symmetry_Int_Tables_number 216
_symmetry_space_group_name_Hall 'F -4 2 3'
loop_
_atom_site_label
_atom_site_type_symbol
_atom_site_fract_x
_atom_site_fract_y
_atom_site_fract_z
Sr1 Sr 0.000 0.000 0.000
Sr2 Sr 0.250 0.250 0.250
Zn1 Zn 0.250 0.250 0.750
Tc1 Tc 0.000 0.000 0.500
# * total magnetic moment: 0.90 μB/f.u.
# * uncorrected energy: -3.068 eV per atom
# * E_form: 683 meV/atom

***

# PBE SrZnTc3, relaxed
data_SrZnTc3
_chemical_formula_sum 'Sr1 Zn1 Tc3'
_cell_length_a 4.725
_cell_length_b 4.725
_cell_length_c 4.725
_cell_angle_alpha 90.00
_cell_angle_beta 90.00
_cell_angle_gamma 90.00
_symmetry_space_group_name_H-M 'P m -3 m'
_symmetry_Int_Tables_number 221
_symmetry_space_group_name_Hall '-P 4 2 3'
loop_
_atom_site_label
_atom_site_type_symbol
_atom_site_fract_x
_atom_site_fract_y
_atom_site_fract_z
Sr1 Sr 0.000 0.000 0.000
Zn1 Zn 0.500 0.500 0.500
Tc1 Tc 0.000 0.500 0.500
# * total magnetic moment: 3.62 μB/f.u.
# * relative energy among the computed polymorphs: 0.0 meV per atom
# * uncorrected energy: -5.361 eV per atom
# * E_form: 1449 meV/atom